6
Lattice="-1.5605 -3.2564 1.7937 0.1589 -1.1593 -6.4957 4.2748 -4.4558 0.1495" Properties=species:S:1:pos:R:3 comment="SrTcIr | Alexandria via LeMat-Bulk | PBE | optimized geometry" ef_ev_per_atom=0.043 e_above_lowest_polymorph_mev_per_atom=41 pbc="T T T"
Sr 1.9494 -7.0286 0.1174
Sr 1.8404 -4.6690 -4.7417
Ir 0.6915 -2.0821 -1.0481
Ir 0.3841 -1.9031 -5.5191
Tc -0.4544 -2.7655 -3.2826
Tc -0.0304 -4.4757 -1.4911